Record 1
PBE-GGA ScBiN2, relaxed; total moment = 0.0 μB/f.u.; electronic total energy = -7.077 eV per atom; ρ = 6.6 Mg/m³
1.0
-2.623 2.623 5.167
2.623 -2.623 5.167
2.623 2.623 -5.167
Sc Bi N
2 2 4
Direct
0.000 0.000 0.000 Sc
0.750 0.250 0.500 Sc
0.250 0.750 0.500 Bi
0.500 0.500 0.000 Bi
0.077 0.625 0.952 N
0.375 0.327 0.452 N
0.673 0.125 0.048 N
0.875 0.923 0.548 N



Record 2
PBE-GGA Sc6Bi2N, relaxed; total moment = 0.0 μB/f.u.; electronic total energy = -6.552 eV per atom; ρ = 5.8 Mg/m³; energy above the lowest structure with this stoichiometry = 119.6 kJ/mol of formula units
1.0
3.473 0.000 0.000
0.000 7.016 4.113
0.000 -7.016 4.113
Sc Bi N
6 2 1
Direct
0.000 0.000 0.000 Sc
0.000 0.530 0.738 Sc
0.000 0.738 0.530 Sc
0.500 0.157 0.765 Sc
0.500 0.343 0.343 Sc
0.500 0.765 0.157 Sc
0.000 0.087 0.432 Bi
0.000 0.432 0.087 Bi
0.500 0.597 0.597 N



Record 3
PBE-GGA Sc2BiN, relaxed; total moment = 0.0 μB/f.u.; electronic total energy = -7.361 eV per atom; ρ = 7.2 Mg/m³; energy above the lowest structure with this stoichiometry = 39.9 kJ/mol of formula units
1.0
2.931 -1.708 0.000
2.931 1.708 0.000
-1.968 0.000 7.250
Sc Bi N
2 1 1
Direct
0.219 0.219 0.156 Sc
0.781 0.781 0.844 Sc
0.000 0.000 0.500 Bi
0.500 0.500 0.000 N



Record 4
PBE-GGA Sc6Bi2N, relaxed; total moment = 0.0 μB/f.u.; electronic total energy = -6.690 eV per atom; ρ = 6.2 Mg/m³; energy above the lowest structure with this stoichiometry = 0.0 kJ/mol of formula units
1.0
6.461 0.000 0.000
0.000 6.461 0.000
0.000 0.000 9.058
Sc Bi N
12 4 2
Direct
0.000 0.000 0.247 Sc
0.000 0.000 0.753 Sc
0.242 0.246 0.000 Sc
0.246 0.758 0.000 Sc
0.254 0.258 0.500 Sc
0.258 0.746 0.500 Sc
0.500 0.500 0.253 Sc
0.500 0.500 0.747 Sc
0.742 0.254 0.500 Sc
0.746 0.742 0.500 Sc
0.754 0.242 0.000 Sc
0.758 0.754 0.000 Sc
0.000 0.500 0.250 Bi
0.000 0.500 0.750 Bi
0.500 0.000 0.250 Bi
0.500 0.000 0.750 Bi
0.000 0.000 0.000 N
0.500 0.500 0.500 N



Record 5
PBE-GGA ScBiSeN2, relaxed; total moment = 0.0 μB/f.u.; electronic total energy = -5.160 eV per atom; ρ = 6.0 Mg/m³; energy above the lowest structure with this stoichiometry = 244.0 kJ/mol of formula units
1.0
4.254 0.000 0.000
0.000 4.254 0.000
0.000 0.000 5.535
Sc Bi Se N
1 1 1 2
Direct
0.000 0.000 0.000 Sc
0.500 0.500 0.500 Bi
0.500 0.500 0.000 Se
0.000 0.500 0.500 N
0.500 0.000 0.500 N



Record 6
PBE-GGA ScBiSeN2, relaxed; total moment = 0.5 μB/f.u.; electronic total energy = -5.665 eV per atom; ρ = 6.3 Mg/m³; energy above the lowest structure with this stoichiometry = 0.0 kJ/mol of formula units
1.0
4.188 0.000 0.000
0.000 4.188 0.000
0.000 0.000 5.387
Sc Bi Se N
1 1 1 2
Direct
0.000 0.000 0.000 Sc
0.500 0.500 0.500 Bi
0.000 0.000 0.500 Se
0.000 0.500 0.000 N
0.500 0.000 0.000 N



Record 7
PBE-GGA Sc4SnBiN, relaxed; total moment = 0.0 μB/f.u.; electronic total energy = -6.930 eV per atom; ρ = 5.9 Mg/m³
1.0
3.124 -7.544 0.000
3.124 7.544 0.000
0.000 0.000 6.247
Sc Sn Bi N
8 2 2 2
Direct
0.000 0.500 0.000 Sc
0.000 0.500 0.500 Sc
0.098 0.902 0.750 Sc
0.399 0.601 0.750 Sc
0.500 0.000 0.000 Sc
0.500 0.000 0.500 Sc
0.601 0.399 0.250 Sc
0.902 0.098 0.250 Sc
0.105 0.895 0.250 Sn
0.895 0.105 0.750 Sn
0.399 0.601 0.250 Bi
0.601 0.399 0.750 Bi
0.249 0.751 0.750 N
0.751 0.249 0.250 N



Record 8
PBE-GGA Sc7Bi2TeN2, relaxed; total moment = 0.0 μB/f.u.; electronic total energy = -6.970 eV per atom; ρ = 6.2 Mg/m³
1.0
-2.240 2.240 11.938
2.240 -2.240 11.938
2.240 2.240 -11.938
Sc Bi Te N
7 2 1 2
Direct
0.000 0.000 0.000 Sc
0.089 0.589 0.500 Sc
0.185 0.185 0.000 Sc
0.411 0.911 0.500 Sc
0.589 0.089 0.500 Sc
0.815 0.815 0.000 Sc
0.911 0.411 0.500 Sc
0.315 0.315 0.000 Bi
0.685 0.685 0.000 Bi
0.500 0.500 0.000 Te
0.094 0.094 0.000 N
0.906 0.906 0.000 N



Record 9
PBE-GGA ScBiTe2N, relaxed; total moment = 0.8 μB/f.u.; electronic total energy = -4.270 eV per atom; ρ = 5.9 Mg/m³; energy above the lowest structure with this stoichiometry = 329.2 kJ/mol of formula units
1.0
5.906 0.000 0.000
0.000 5.906 0.000
0.000 0.000 4.244
Sc Bi Te N
1 1 2 1
Direct
0.000 0.000 0.000 Sc
0.500 0.500 0.500 Bi
0.000 0.500 0.500 Te
0.500 0.000 0.500 Te
0.500 0.500 0.000 N



Record 10
PBE-GGA ScBiTe2N, relaxed; total moment = 1.2 μB/f.u.; electronic total energy = -4.952 eV per atom; ρ = 6.5 Mg/m³; energy above the lowest structure with this stoichiometry = 0.0 kJ/mol of formula units
1.0
5.749 0.000 0.000
0.000 5.749 0.000
0.000 0.000 4.037
Sc Bi Te N
1 1 2 1
Direct
0.000 0.000 0.000 Sc
0.500 0.500 0.500 Bi
0.000 0.500 0.000 Te
0.500 0.000 0.000 Te
0.000 0.000 0.500 N



Record 11
PBE-GGA ScBiTeN2, relaxed; total moment = 0.0 μB/f.u.; electronic total energy = -5.394 eV per atom; ρ = 6.4 Mg/m³; energy above the lowest structure with this stoichiometry = 0.0 kJ/mol of formula units
1.0
4.289 0.000 0.000
0.000 4.289 0.000
0.000 0.000 5.789
Sc Bi Te N
1 1 1 2
Direct
0.000 0.000 0.000 Sc
0.500 0.500 0.500 Bi
0.000 0.000 0.500 Te
0.000 0.500 0.000 N
0.500 0.000 0.000 N



Record 12
PBE-GGA ScBiTeN2, relaxed; total moment = 0.0 μB/f.u.; electronic total energy = -4.917 eV per atom; ρ = 6.0 Mg/m³; energy above the lowest structure with this stoichiometry = 230.2 kJ/mol of formula units
1.0
4.298 0.000 0.000
0.000 4.298 0.000
0.000 0.000 6.104
Sc Bi Te N
1 1 1 2
Direct
0.000 0.000 0.000 Sc
0.500 0.500 0.500 Bi
0.500 0.500 0.000 Te
0.000 0.500 0.500 N
0.500 0.000 0.500 N



Record 13
PBE-GGA Th2ScBi2N2, relaxed; total moment = 0.0 μB/f.u.; electronic total energy = -7.587 eV per atom; ρ = 10.3 Mg/m³
1.0
-2.129 2.129 8.468
2.129 -2.129 8.468
2.129 2.129 -8.468
Th Sc Bi N
2 1 2 2
Direct
0.097 0.097 0.000 Th
0.903 0.903 0.000 Th
0.500 0.500 0.000 Sc
0.310 0.310 0.000 Bi
0.690 0.690 0.000 Bi
0.000 0.500 0.500 N
0.500 0.000 0.500 N



Record 14
PBE-GGA Sc2TlBiN, relaxed; total moment = 0.0 μB/f.u.; electronic total energy = -3.796 eV per atom; ρ = 5.3 Mg/m³
1.0
5.385 0.000 0.000
0.000 5.385 0.000
0.000 0.000 5.631
Sc Tl Bi N
2 1 1 1
Direct
0.000 0.500 0.000 Sc
0.500 0.000 0.000 Sc
0.000 0.000 0.000 Tl
0.000 0.000 0.500 Bi
0.500 0.500 0.500 N



Record 15
PBE-GGA Zr2ScBiN, relaxed; total moment = 0.0 μB/f.u.; electronic total energy = -7.884 eV per atom; ρ = 7.8 Mg/m³
1.0
4.469 0.000 0.000
0.000 4.469 0.000
0.000 0.000 4.791
Zr Sc Bi N
2 1 1 1
Direct
0.000 0.500 0.000 Zr
0.500 0.000 0.000 Zr
0.000 0.000 0.500 Sc
0.500 0.500 0.500 Bi
0.000 0.000 0.000 N



Record 16
PBE-GGA Bi4Se3N2, relaxed; total moment = 0.0 μB/f.u.; electronic total energy = -4.748 eV per atom; ρ = 8.1 Mg/m³; energy above the lowest structure with this stoichiometry = 0.0 kJ/mol of formula units
1.0
7.301 -1.987 0.000
7.301 1.987 0.000
-5.310 0.000 7.824
Bi Se N
4 3 2
Direct
0.127 0.127 0.418 Bi
0.317 0.317 0.882 Bi
0.683 0.683 0.118 Bi
0.873 0.873 0.582 Bi
0.000 0.000 0.000 Se
0.356 0.356 0.276 Se
0.644 0.644 0.724 Se
0.309 0.309 0.636 N
0.691 0.691 0.364 N



Record 17
PBE-GGA Bi4Se3N2, relaxed; total moment = 0.0 μB/f.u.; electronic total energy = -4.645 eV per atom; ρ = 8.0 Mg/m³; energy above the lowest structure with this stoichiometry = 89.6 kJ/mol of formula units
1.0
7.192 0.000 0.000
0.000 15.747 0.000
0.000 0.000 4.024
Bi Se N
8 6 4
Direct
0.204 0.066 0.000 Bi
0.218 0.852 0.500 Bi
0.282 0.352 0.000 Bi
0.296 0.566 0.500 Bi
0.704 0.434 0.500 Bi
0.718 0.648 0.000 Bi
0.782 0.148 0.500 Bi
0.796 0.934 0.000 Bi
0.000 0.500 0.000 Se
0.152 0.212 0.500 Se
0.348 0.712 0.000 Se
0.500 0.000 0.500 Se
0.652 0.288 0.000 Se
0.848 0.788 0.500 Se
0.116 0.925 0.000 N
0.384 0.425 0.500 N
0.616 0.575 0.500 N
0.884 0.075 0.000 N



Record 18
PBE-GGA BiSeN2, relaxed; total moment = 0.0 μB/f.u.; electronic total energy = -5.038 eV per atom; ρ = 7.5 Mg/m³; energy above the lowest structure with this stoichiometry = 368.2 kJ/mol of formula units
1.0
1.760 1.016 6.517
-1.760 1.016 6.517
0.000 -2.033 6.517
Bi Se N
1 1 2
Direct
0.000 0.000 0.000 Bi
0.500 0.500 0.500 Se
0.399 0.399 0.399 N
0.601 0.601 0.601 N



Record 19
PBE-GGA BiSe2N2, relaxed; total moment = 0.6 μB/f.u.; electronic total energy = -4.063 eV per atom; ρ = 8.0 Mg/m³; energy above the lowest structure with this stoichiometry = 724.1 kJ/mol of formula units
1.0
4.267 0.000 0.000
0.000 4.267 0.000
0.000 0.000 4.482
Bi Se N
1 2 2
Direct
0.000 0.000 0.000 Bi
0.000 0.500 0.500 Se
0.500 0.000 0.500 Se
0.500 0.500 0.000 N
0.500 0.500 0.500 N



Record 20
PBE-GGA BiSeN2, relaxed; total moment = 0.0 μB/f.u.; electronic total energy = -4.829 eV per atom; ρ = 7.3 Mg/m³; energy above the lowest structure with this stoichiometry = 449.2 kJ/mol of formula units
1.0
-2.461 2.461 5.971
2.461 -2.461 5.971
2.461 2.461 -5.971
Bi Se N
2 2 4
Direct
0.000 0.000 0.000 Bi
0.750 0.250 0.500 Bi
0.250 0.750 0.500 Se
0.500 0.500 0.000 Se
0.175 0.625 0.050 N
0.375 0.425 0.550 N
0.575 0.125 0.950 N
0.875 0.825 0.450 N



Calculated values (eV per atom) of E_form (uncorrected) for the records, taken in order: -0.362; -0.544; -1.144; -0.682; 0.910; 0.404; -0.997; -0.981; 0.694; 0.012; 0.607; 1.084; -1.075; 1.651; -0.757; -0.011; 0.092; 0.966; 1.437; 1.175.